Entry 1:
First-principles (GGA-PBE) data for crystalline Ta2InCo at its relaxed geometry, as listed in Alexandria.

Cell: 2.943 2.943 7.847 Å, 90.00 90.00 90.12°
Element x y z (fractional)
Co1 0.000 0.000 0.485
In1 0.500 0.500 0.717
Ta1 0.000 0.000 0.005
Ta2 0.500 0.500 0.293

Results
space-group type = No. 35
DFT formation energy = 0.055 eV/atom


Entry 2:
First-principles (GGA-PBE) data for crystalline Ho2TmNbN4 at its relaxed geometry, as listed in Alexandria.

Cell: 3.328 5.782 5.788 Å, 109.15 90.00 90.00°
Element x y z (fractional)
Ho1 0.500 0.000 0.500
Ho2 0.000 0.500 0.500
Tm1 0.500 0.500 0.000
Nb1 0.000 0.000 0.000
N1 0.500 0.237 0.234
N2 0.500 0.763 0.766
N3 0.000 0.242 0.763
N4 0.000 0.758 0.237

Results
formation energy from raw total energies = -12.61 eV per formula unit
space-group type = No. 10


Entry 3:
First-principles (GGA-PBE) data for crystalline Zr2NiAgPt at its relaxed geometry, as listed in Alexandria.

Cell: 4.720 4.631 4.720 Å, 90.00 90.00 90.00°
Element x y z (fractional)
Zr1 0.000 0.000 0.500
Zr2 0.500 0.000 0.000
Ag1 0.000 0.500 0.000
Pt1 0.500 0.500 0.500
Ni1 0.000 0.000 0.000

Results
space-group type = No. 123
DFT formation energy = 0.223 eV/atom


Entry 4:
First-principles (GGA-PBE) data for crystalline KYC at its relaxed geometry, as listed in Alexandria.

Cell: 14.091 3.693 4.260 Å, 115.49 95.35 83.06°
Element x y z (fractional)
Y1 0.430 0.362 0.826
Y2 0.608 0.002 0.272
K1 0.867 0.597 0.755
K2 0.171 0.747 0.345
C1 0.495 0.613 0.390
C2 0.544 0.751 0.708

Results
E above lowest polymorph = 0 meV per atom
space-group type = No. 1
DFT formation energy = -0.066 eV/atom


Entry 5:
First-principles (GGA-PBE) data for crystalline Nd2Dy3Ag3 at its relaxed geometry, as listed in Alexandria.

Cell: 3.731 5.284 11.363 Å, 103.45 99.45 90.00°
Element x y z (fractional)
Nd1 0.269 0.769 0.539
Nd2 0.731 0.231 0.461
Dy1 0.382 0.382 0.765
Dy2 0.618 0.618 0.235
Dy3 0.500 0.000 0.000
Ag1 0.887 0.887 0.774
Ag2 0.000 0.500 0.000
Ag3 0.113 0.113 0.226

Results
space-group type = No. 71
DFT formation energy = -0.191 eV/atom


Entry 6:
First-principles (GGA-PBE) data for crystalline Na12HgAu7 at its relaxed geometry, as listed in Alexandria.

Cell: 9.387 8.389 8.389 Å, 73.06 68.10 111.90°
Element x y z (fractional)
Na1 0.634 0.302 0.166
Na2 0.199 0.834 0.468
Na3 0.271 0.218 0.107
Na4 0.623 0.893 0.325
Na5 0.667 0.468 0.698
Na6 0.947 0.325 0.782
Na7 0.053 0.675 0.218
Na8 0.333 0.532 0.302
Na9 0.377 0.107 0.675
Na10 0.729 0.782 0.893
Na11 0.801 0.166 0.532
Na12 0.366 0.698 0.834
Hg1 0.000 0.000 0.000
Au1 0.995 0.324 0.103
Au2 0.902 0.897 0.427
Au3 0.329 0.427 0.676
Au4 0.500 0.000 0.000
Au5 0.671 0.573 0.324
Au6 0.098 0.103 0.573
Au7 0.005 0.676 0.897

Results
space-group type = No. 148
DFT formation energy = -0.206 eV/atom


Entry 7:
First-principles (GGA-PBE) data for crystalline HoTmAlAg at its relaxed geometry, as listed in Alexandria.

Cell: 5.107 5.107 5.107 Å, 60.00 60.00 60.00°
Element x y z (fractional)
Tm1 0.500 0.500 0.500
Ho1 0.000 0.000 0.000
Ag1 0.250 0.250 0.250
Al1 0.750 0.750 0.750

Results
E above lowest polymorph = 17 meV per atom
space-group type = No. 216
DFT formation energy = -0.350 eV/atom


Entry 8:
First-principles (GGA-PBE) data for crystalline MoAs2 at its relaxed geometry, as listed in Alexandria.

Cell: 4.865 4.865 6.924 Å, 83.86 83.86 39.84°
Element x y z (fractional)
Mo1 0.997 0.997 0.464
Mo2 0.763 0.763 0.982
As1 0.042 0.042 0.078
As2 0.675 0.675 0.617
As3 0.286 0.286 0.284
As4 0.403 0.403 0.741

Results
space-group type = No. 8
DFT formation energy = 0.103 eV/atom


Results for total magnetic moment: 0.00, 0.00, 0.00, 0.00, 0.00, 0.00, 0.00, 0.00 (in μB/cell, following the order of the records).